(A)
# YSiSb2Te

A geometry-optimized YSiSb2Te structure (PBE, the Alexandria database).

Properties
**Space group**: P4/mmm, No. 123

Cell and atoms, written as POSCAR:
```
YSiSb2Te
1.0
5.215 0.000 0.000
0.000 5.215 0.000
0.000 0.000 5.286
Y Si Sb Te
1 1 2 1
Direct
0.000 0.000 0.000 Y
0.500 0.500 0.500 Si
0.000 0.500 0.500 Sb
0.500 0.000 0.500 Sb
0.500 0.500 0.000 Te
```


(B)
# YSiSb2Te

A geometry-optimized YSiSb2Te structure (PBE, the Alexandria database).

Properties
**Space group**: P4/mmm, No. 123

Cell and atoms, written as POSCAR:
```
YSiSb2Te
1.0
5.769 0.000 0.000
0.000 5.769 0.000
0.000 0.000 5.745
Y Si Sb Te
1 1 2 1
Direct
0.000 0.000 0.000 Y
0.500 0.500 0.500 Si
0.000 0.500 0.000 Sb
0.500 0.000 0.000 Sb
0.000 0.000 0.500 Te
```


Most stable to least stable, the ends of the list are (A) and (B).


(A)
# ThSiSb

A geometry-optimized ThSiSb structure (PBE, the Alexandria database).

Properties
**Space group**: P6_222, No. 180

Cell and atoms, written as POSCAR:
```
ThSiSb
1.0
6.911 0.000 0.000
-3.456 5.985 0.000
0.000 0.000 12.248
Th Si Sb
6 6 6
Direct
0.000 0.500 0.398 Th
0.000 0.500 0.935 Th
0.500 0.000 0.268 Th
0.500 0.000 0.732 Th
0.500 0.500 0.065 Th
0.500 0.500 0.602 Th
0.186 0.593 0.167 Si
0.407 0.593 0.833 Si
0.407 0.814 0.500 Si
0.593 0.186 0.500 Si
0.593 0.407 0.833 Si
0.814 0.407 0.167 Si
0.000 0.000 0.167 Sb
0.000 0.000 0.500 Sb
0.000 0.000 0.833 Sb
0.000 0.500 0.667 Sb
0.500 0.000 0.000 Sb
0.500 0.500 0.333 Sb
```


(B)
# ThSiSb

A geometry-optimized ThSiSb structure (PBE, the Alexandria database).

Properties
**Space group**: P-6m2, No. 187

Cell and atoms, written as POSCAR:
```
ThSiSb
1.0
4.672 0.000 0.000
-2.336 4.046 0.000
0.000 0.000 3.988
Th Si Sb
1 1 1
Direct
0.000 0.000 0.000 Th
0.667 0.333 0.500 Si
0.333 0.667 0.500 Sb
```


(C)
# ThSiSb

A geometry-optimized ThSiSb structure (PBE, the Alexandria database).

Properties
**Space group**: Cmcm, No. 63

Cell and atoms, written as POSCAR:
```
ThSiSb
1.0
2.168 -8.447 0.000
2.168 8.447 0.000
0.000 0.000 4.152
Th Si Sb
2 2 2
Direct
0.098 0.902 0.750 Th
0.902 0.098 0.250 Th
0.459 0.541 0.750 Si
0.541 0.459 0.250 Si
0.250 0.750 0.250 Sb
0.750 0.250 0.750 Sb
```


Most stable to least stable, the ends of the list are (C) and (A).


(A)
# Th2SiSb

A geometry-optimized Th2SiSb structure (PBE, the Alexandria database).

Properties
**Space group**: R3m, No. 160

Cell and atoms, written as POSCAR:
```
Th2SiSb
1.0
2.124 1.226 7.764
-2.124 1.226 7.764
0.000 -2.453 7.764
Th Si Sb
2 1 1
Direct
0.000 0.000 0.000 Th
0.158 0.158 0.158 Th
0.746 0.746 0.746 Si
0.578 0.578 0.578 Sb
```


(B)
# Th2SiSb

A geometry-optimized Th2SiSb structure (PBE, the Alexandria database).

Properties
**Space group**: R-3m, No. 166

Cell and atoms, written as POSCAR:
```
Th2SiSb
1.0
2.175 1.256 7.297
-2.175 1.256 7.297
0.000 -2.511 7.297
Th Si Sb
2 1 1
Direct
0.242 0.242 0.242 Th
0.758 0.758 0.758 Th
0.500 0.500 0.500 Si
0.000 0.000 0.000 Sb
```


Most stable to least stable, the ends of the list are (B) and (A).


(A)
# Ti3SiSb

A geometry-optimized Ti3SiSb structure (PBE, the Alexandria database).

Properties
**Space group**: P2_1/m, No. 11

Cell and atoms, written as POSCAR:
```
Ti3SiSb
1.0
7.016 0.000 0.000
0.000 3.665 0.000
-2.608 0.000 6.785
Ti Si Sb
6 2 2
Direct
0.015 0.250 0.195 Ti
0.338 0.250 0.929 Ti
0.340 0.750 0.601 Ti
0.660 0.250 0.399 Ti
0.662 0.750 0.071 Ti
0.985 0.750 0.805 Ti
0.079 0.250 0.596 Si
0.921 0.750 0.404 Si
0.330 0.750 0.209 Sb
0.670 0.250 0.791 Sb
```


(B)
# Ti3SiSb

A geometry-optimized Ti3SiSb structure (PBE, the Alexandria database).

Properties
**Space group**: Pm-3m, No. 221

Cell and atoms, written as POSCAR:
```
Ti3SiSb
1.0
4.987 0.000 0.000
0.000 4.987 0.000
0.000 0.000 4.987
Ti Si Sb
3 1 1
Direct
0.000 0.000 0.500 Ti
0.000 0.500 0.000 Ti
0.500 0.000 0.000 Ti
0.500 0.500 0.500 Si
0.000 0.000 0.000 Sb
```


Most stable to least stable, the ends of the list are (A) and (B).


(A)
# TlSiSb

A geometry-optimized TlSiSb structure (PBE, the Alexandria database).

Properties
**Space group**: P3m1, No. 156

Cell and atoms, written as POSCAR:
```
TlSiSb
1.0
4.016 0.000 0.000
-2.008 3.478 0.000
0.000 0.000 6.045
Tl Si Sb
1 1 1
Direct
0.000 0.000 0.000 Tl
0.667 0.333 0.649 Si
0.333 0.667 0.431 Sb
```


(B)
# TlSiSb

A geometry-optimized TlSiSb structure (PBE, the Alexandria database).

Properties
**Space group**: I4mm, No. 107

Cell and atoms, written as POSCAR:
```
TlSiSb
1.0
-1.779 1.779 6.280
1.779 -1.779 6.280
1.779 1.779 -6.280
Tl Si Sb
1 1 1
Direct
0.000 0.000 0.000 Tl
0.675 0.675 0.000 Si
0.275 0.275 0.000 Sb
```


Most stable to least stable, the ends of the list are (A) and (B).


(A)
# TlSiSb

A geometry-optimized TlSiSb structure (PBE, the Alexandria database).

Properties
**Space group**: P3m1, No. 156

Cell and atoms, written as POSCAR:
```
TlSiSb
1.0
5.203 0.000 0.000
-2.601 4.506 0.000
0.000 0.000 3.236
Tl Si Sb
1 1 1
Direct
0.000 0.000 0.000 Tl
0.333 0.667 0.502 Si
0.667 0.333 0.500 Sb
```


(B)
# TlSiSb

A geometry-optimized TlSiSb structure (PBE, the Alexandria database).

Properties
**Space group**: P4_2/m, No. 84

Cell and atoms, written as POSCAR:
```
TlSiSb
1.0
9.761 0.000 0.000
0.000 9.761 0.000
0.000 0.000 3.923
Tl Si Sb
4 4 4
Direct
0.029 0.770 0.000 Tl
0.230 0.029 0.500 Tl
0.770 0.971 0.500 Tl
0.971 0.230 0.000 Tl
0.257 0.670 0.500 Si
0.330 0.257 0.000 Si
0.670 0.743 0.000 Si
0.743 0.330 0.500 Si
0.221 0.399 0.500 Sb
0.399 0.779 0.000 Sb
0.601 0.221 0.000 Sb
0.779 0.601 0.500 Sb
```


Most stable to least stable, the ends of the list are (B) and (A).


(A)
# TlSiSb

A geometry-optimized TlSiSb structure (PBE, the Alexandria database).

Properties
**Space group**: F-43m, No. 216

Cell and atoms, written as POSCAR:
```
TlSiSb
1.0
0.000 3.484 3.484
3.484 0.000 3.484
3.484 3.484 0.000
Tl Si Sb
1 1 1
Direct
0.000 0.000 0.000 Tl
0.750 0.750 0.750 Si
0.500 0.500 0.500 Sb
```


(B)
# TlSiSb

A geometry-optimized TlSiSb structure (PBE, the Alexandria database).

Properties
**Space group**: F-43m, No. 216

Cell and atoms, written as POSCAR:
```
TlSiSb
1.0
0.000 3.572 3.572
3.572 0.000 3.572
3.572 3.572 0.000
Tl Si Sb
1 1 1
Direct
0.000 0.000 0.000 Tl
0.500 0.500 0.500 Si
0.250 0.250 0.250 Sb
```


Most stable to least stable, the ends of the list are (A) and (B).


(A)
# USiSb2

A geometry-optimized USiSb2 structure (PBE, the Alexandria database).

Properties
**Space group**: R-3m, No. 166

Cell and atoms, written as POSCAR:
```
USiSb2
1.0
1.756 1.014 9.817
-1.756 1.014 9.817
0.000 -2.028 9.817
U Si Sb
1 1 2
Direct
0.000 0.000 0.000 U
0.500 0.500 0.500 Si
0.106 0.106 0.106 Sb
0.894 0.894 0.894 Sb
```


(B)
# USiSb2

A geometry-optimized USiSb2 structure (PBE, the Alexandria database).

Properties
**Space group**: P4/mmm, No. 123

Cell and atoms, written as POSCAR:
```
USiSb2
1.0
4.420 0.000 0.000
0.000 4.420 0.000
0.000 0.000 4.592
U Si Sb
1 1 2
Direct
0.000 0.000 0.000 U
0.500 0.500 0.000 Si
0.000 0.500 0.500 Sb
0.500 0.000 0.500 Sb
```


Most stable to least stable, the ends of the list are (B) and (A).


(A)
# Y2SiSb

A geometry-optimized Y2SiSb structure (PBE, the Alexandria database).

Properties
**Space group**: Cmm2, No. 35

Cell and atoms, written as POSCAR:
```
Y2SiSb
1.0
2.562 -2.570 0.000
2.562 2.570 0.000
0.000 0.000 7.820
Y Si Sb
2 1 1
Direct
0.000 0.000 0.000 Y
0.500 0.500 0.359 Y
0.500 0.500 0.780 Si
0.000 0.000 0.601 Sb
```


(B)
# Y2SiSb

A geometry-optimized Y2SiSb structure (PBE, the Alexandria database).

Properties
**Space group**: P4/mmm, No. 123

Cell and atoms, written as POSCAR:
```
Y2SiSb
1.0
3.881 0.000 0.000
0.000 3.881 0.000
0.000 0.000 6.518
Y Si Sb
2 1 1
Direct
0.000 0.000 0.239 Y
0.000 0.000 0.761 Y
0.500 0.500 0.000 Si
0.500 0.500 0.500 Sb
```


Most stable to least stable, the ends of the list are (B) and (A).


(A)
# Y2SiSb

A geometry-optimized Y2SiSb structure (PBE, the Alexandria database).

Properties
**Space group**: R3m, No. 160

Cell and atoms, written as POSCAR:
```
Y2SiSb
1.0
1.907 1.101 8.898
-1.907 1.101 8.898
0.000 -2.202 8.898
Y Si Sb
2 1 1
Direct
0.000 0.000 0.000 Y
0.230 0.230 0.230 Y
0.483 0.483 0.483 Si
0.761 0.761 0.761 Sb
```


(B)
# Y2SiSb

A geometry-optimized Y2SiSb structure (PBE, the Alexandria database).

Properties
**Space group**: C2/m, No. 12

Cell and atoms, written as POSCAR:
```
Y2SiSb
1.0
3.557 -4.020 0.000
3.557 4.020 0.000
-0.792 0.000 3.545
Y Si Sb
2 1 1
Direct
0.000 0.500 0.000 Y
0.500 0.000 0.000 Y
0.000 0.000 0.500 Si
0.500 0.500 0.500 Sb
```


Most stable to least stable, the ends of the list are (B) and (A).


(A)
# Y2SiSb

A geometry-optimized Y2SiSb structure (PBE, the Alexandria database).

Properties
**Space group**: Cmmm, No. 65

Cell and atoms, written as POSCAR:
```
Y2SiSb
1.0
2.228 -2.770 0.000
2.228 2.770 0.000
0.000 0.000 8.131
Y Si Sb
2 1 1
Direct
0.000 0.000 0.230 Y
0.000 0.000 0.770 Y
0.500 0.500 0.000 Si
0.500 0.500 0.500 Sb
```


(B)
# Y2SiSb

A geometry-optimized Y2SiSb structure (PBE, the Alexandria database).

Properties
**Space group**: Pmmm, No. 47

Cell and atoms, written as POSCAR:
```
Y2SiSb
1.0
4.263 0.000 0.000
0.000 4.280 0.000
0.000 0.000 6.021
Y Si Sb
2 1 1
Direct
0.000 0.000 0.000 Y
0.500 0.500 0.500 Y
0.000 0.000 0.500 Si
0.500 0.500 0.000 Sb
```


(C)
# Y2SiSb

A geometry-optimized Y2SiSb structure (PBE, the Alexandria database).

Properties
**Space group**: Cm, No. 8

Cell and atoms, written as POSCAR:
```
Y2SiSb
1.0
5.552 -2.126 0.000
5.552 2.126 0.000
-0.247 0.000 4.219
Y Si Sb
2 1 1
Direct
0.000 0.000 0.000 Y
0.729 0.729 0.509 Y
0.469 0.469 0.491 Si
0.279 0.279 0.019 Sb
```


Most stable to least stable, the ends of the list are (C) and (A).


(A)
# Y2SiSb

A geometry-optimized Y2SiSb structure (PBE, the Alexandria database).

Properties
**Space group**: I-4m2, No. 119

Cell and atoms, written as POSCAR:
```
Y2SiSb
1.0
-2.150 2.150 5.298
2.150 -2.150 5.298
2.150 2.150 -5.298
Y Si Sb
2 1 1
Direct
0.000 0.000 0.000 Y
0.750 0.250 0.500 Y
0.500 0.500 0.000 Si
0.250 0.750 0.500 Sb
```


(B)
# Y2SiSb

A geometry-optimized Y2SiSb structure (PBE, the Alexandria database).

Properties
**Space group**: P2/m, No. 10

Cell and atoms, written as POSCAR:
```
Y2SiSb
1.0
3.581 0.000 0.000
0.000 4.023 0.000
-1.616 0.000 7.012
Y Si Sb
2 1 1
Direct
0.027 0.000 0.266 Y
0.973 0.000 0.734 Y
0.500 0.500 0.500 Si
0.500 0.500 0.000 Sb
```


(C)
# Y2SiSb

A geometry-optimized Y2SiSb structure (PBE, the Alexandria database).

Properties
**Space group**: R-3m, No. 166

Cell and atoms, written as POSCAR:
```
Y2SiSb
1.0
2.084 1.203 7.225
-2.084 1.203 7.225
0.000 -2.406 7.225
Y Si Sb
2 1 1
Direct
0.244 0.244 0.244 Y
0.756 0.756 0.756 Y
0.500 0.500 0.500 Si
0.000 0.000 0.000 Sb
```


(D)
# Y2SiSb

A geometry-optimized Y2SiSb structure (PBE, the Alexandria database).

Properties
**Space group**: F-43m, No. 216

Cell and atoms, written as POSCAR:
```
Y2SiSb
1.0
0.000 3.663 3.663
3.663 0.000 3.663
3.663 3.663 0.000
Y Si Sb
2 1 1
Direct
0.000 0.000 0.000 Y
0.250 0.250 0.250 Y
0.750 0.750 0.750 Si
0.500 0.500 0.500 Sb
```


Most stable to least stable, the ends of the list are (C) and (D).